Material: RbEuHgBi
Method: DFT, PBE-GGA
State: optimized geometry

Its size of the total moment is 7.00 μB/f.u. As for the crystal system: cubic. The calculation puts the formation energy at -485 meV per atom.

Cell lengths 8.309, 8.309, 8.309 Å; angles 90.00, 90.00, 90.00 degrees
Space group F-43m (No. 216)
One atom of each set of equivalent atoms:
Rb (0.000, 0.000, 0.000)
Eu (0.000, 0.000, 0.500)
Hg (0.250, 0.250, 0.750)
Bi (0.250, 0.250, 0.250)